(1)
Here is an optimized crystal structure of PrMgZn2Au5 from Alexandria via LeMat-Bulk. Energies are from GGA-PBE.

POSCAR file:
```
PrMgZn2Au5
1.0
4.876 0.000 0.000
0.000 4.876 0.000
0.000 0.000 7.815
Pr Mg Zn Au
1 1 2 5
Direct
0.000 0.000 0.000
0.000 0.000 0.500
0.500 0.500 0.345
0.500 0.500 0.655
0.000 0.500 0.258
0.000 0.500 0.742
0.500 0.000 0.258
0.500 0.000 0.742
0.500 0.500 0.000
```


(2)
Here is an optimized crystal structure of PrMgZn2Au2 from Alexandria via LeMat-Bulk. Energies are from GGA-PBE.

POSCAR file:
```
PrMgZn2Au2
1.0
4.550 0.000 0.000
-2.275 3.940 0.000
0.000 0.000 6.854
Pr Mg Zn Au
1 1 2 2
Direct
0.000 0.000 0.000
0.000 0.000 0.500
0.333 0.667 0.703
0.667 0.333 0.297
0.333 0.667 0.283
0.667 0.333 0.717
```


(3)
Here is an optimized crystal structure of PrMgZnAu from Alexandria via LeMat-Bulk. Energies are from GGA-PBE.

POSCAR file:
```
PrMgZnAu
1.0
7.078 0.000 0.000
0.000 7.078 0.000
0.000 0.000 7.078
Pr Mg Zn Au
4 4 4 4
Direct
0.000 0.000 0.000
0.000 0.500 0.500
0.500 0.000 0.500
0.500 0.500 0.000
0.000 0.000 0.500
0.000 0.500 0.000
0.500 0.000 0.000
0.500 0.500 0.500
0.250 0.250 0.250
0.250 0.750 0.750
0.750 0.250 0.750
0.750 0.750 0.250
0.250 0.250 0.750
0.250 0.750 0.250
0.750 0.250 0.250
0.750 0.750 0.750
```


no.,ΔH_f (0 K) (eV per atom)
1,-0.349
2,-0.550
3,-0.528